[1]
DFT (PBE) results for crystalline Sc3AgC at its relaxed geometry.

Output
Mass density: 2.940 g/cm³
Relative energy among the computed polymorphs: 1136 meV per atom

Cell lengths 7.9472, 7.9472, 9.1118 Å; angles 90.00, 90.00, 90.00 degrees
Closest atoms and distances in Å follow each position.
Space group I-4m2 (No. 119)
Asymmetric unit:
Sc 0.0000 0.0000 0.1760 (multiplicity 4)  1 Ag 2.95, 1 Sc 3.21
Sc 0.0000 0.3198 0.5013 (multiplicity 8)  1 C 2.18
Ag 0.0000 0.0000 0.5000 (multiplicity 2)  4 Sc 2.54
Ag 0.0000 0.5000 0.7500 (multiplicity 2)  4 Sc 2.68
C 0.0000 0.5000 0.1795 (multiplicity 4)  1 C 1.29

[2]
DFT (PBE) results for crystalline Sc3AgC at its relaxed geometry.

Output
Mass density: 4.533 g/cm³
Relative energy among the computed polymorphs: 56 meV per atom

Cell lengths 8.2419, 5.8569, 8.4638 Å; angles 90.00, 114.00, 90.00 degrees
Closest atoms and distances in Å follow each position.
Space group P2_1/c (No. 14)
Asymmetric unit:
Sc 0.0675 0.0721 0.3566 (multiplicity 4)  3 C 2.33-2.38
Sc 0.1896 0.5803 0.5499 (multiplicity 4)  2 C 2.27-2.30
Sc 0.3519 0.1235 0.7594 (multiplicity 4)  1 C 2.21
Ag 0.4015 0.6797 0.9079 (multiplicity 4)  1 Ag 2.73, 6 Sc 2.84-2.99
C 0.0793 0.2496 0.1080 (multiplicity 4)  6 Sc 2.21-2.38

[3]
DFT (PBE) results for crystalline ScAg2C at its relaxed geometry.

Output
Mass density: 5.884 g/cm³

Cell lengths 4.6678, 4.6678, 14.1278 Å; angles 90.00, 90.00, 90.00 degrees
Closest atoms and distances in Å follow each position.
Space group I-42d (No. 122)
Asymmetric unit:
Sc 0.0000 0.0000 0.0000 (multiplicity 4)  4 Ag 2.76
Ag 0.1221 0.2500 0.6250 (multiplicity 8)  2 C 2.19
C 0.0000 0.0000 0.5000 (multiplicity 4)  4 Ag 2.19

[4]
DFT (PBE) results for crystalline Sc3AgC at its relaxed geometry.

Output
Mass density: 4.406 g/cm³
Relative energy among the computed polymorphs: 46 meV per atom

Cell lengths 5.6553, 6.2984, 6.3121 Å; angles 61.47, 78.59, 78.13 degrees
Closest atoms and distances in Å follow each position.
Space group P-1 (No. 2)
Asymmetric unit:
Sc 0.1719 0.1647 0.1614 (multiplicity 2)  2 C 2.21-2.24
Sc 0.2889 0.1469 0.6820 (multiplicity 2)  2 C 2.24-2.26
Sc 0.2929 0.6816 0.1476 (multiplicity 2)  2 C 2.24-2.26
Ag 0.2696 0.6521 0.6480 (multiplicity 2)  5 Sc 2.82-3.07
C 0.0000 0.0000 0.0000 (multiplicity 1)  6 Sc 2.21-2.26
C 0.5000 0.0000 0.0000 (multiplicity 1)  6 Sc 2.24

[5]
DFT (PBE) results for crystalline Sc3AgC at its relaxed geometry.

Output
Mass density: 4.076 g/cm³
Relative energy among the computed polymorphs: 286 meV per atom

Cell lengths 3.9748, 3.9748, 15.1716 Å; angles 90.00, 90.00, 120.00 degrees
Closest atoms and distances in Å follow each position.
Space group P6_3/mmc (No. 194)
Asymmetric unit:
Sc 0.0000 0.0000 0.2500 (multiplicity 2)  3 C 2.29
Sc 0.3333 0.6667 0.1050 (multiplicity 4)  1 C 2.20
Ag 0.0000 0.0000 0.0000 (multiplicity 2)  6 Sc 2.79
C 0.3333 0.6667 0.2500 (multiplicity 2)  5 Sc 2.20-2.29

[6]
DFT (PBE) results for crystalline Sc4Ag2C at its relaxed geometry.

Output
Mass density: 4.763 g/cm³

Cell lengths 4.5036, 4.5036, 14.0104 Å; angles 90.00, 90.00, 90.00 degrees
Closest atoms and distances in Å follow each position.
Space group I4/mmm (No. 139)
Asymmetric unit:
Sc 0.0000 0.0000 0.1639 (multiplicity 4)  1 C 2.30
Sc 0.0000 0.5000 0.0000 (multiplicity 4)  2 C 2.25
Ag 0.0000 0.0000 0.3630 (multiplicity 4)  5 Sc 2.79-2.96
C 0.0000 0.0000 0.0000 (multiplicity 2)  6 Sc 2.25-2.30

[7]
DFT (PBE) results for crystalline Sc3AgC at its relaxed geometry.

Output
Mass density: 3.813 g/cm³
Relative energy among the computed polymorphs: 755 meV per atom

Cell lengths 3.9021, 3.9021, 7.2856 Å; angles 90.00, 90.00, 90.00 degrees
Closest atoms and distances in Å follow each position.
Space group P4mm (No. 99)
Asymmetric unit:
Sc 0.0000 0.0000 0.0000 (multiplicity 1)  1 Ag 2.81, 4 C 2.97, 4 Sc 3.02
Sc 0.0000 0.5000 0.6838 (multiplicity 2)  2 C 2.30
Ag 0.0000 0.0000 0.3856 (multiplicity 1)  5 Sc 2.81-2.92
C 0.5000 0.5000 0.8498 (multiplicity 1)  4 Sc 2.30

[8]
DFT (PBE) results for crystalline ScAgC2 at its relaxed geometry.

Output
Mass density: 6.104 g/cm³
Relative energy among the computed polymorphs: 0 meV per atom

Cell lengths 5.7733, 5.7733, 5.7733 Å; angles 90.00, 90.00, 90.00 degrees
Closest atoms and distances in Å follow each position.
Space group Fm-3m (No. 225)
Asymmetric unit:
Sc 0.0000 0.0000 0.0000 (multiplicity 4)  8 C 2.50
Ag 0.0000 0.0000 0.5000 (multiplicity 4)  8 C 2.50
C 0.2500 0.2500 0.2500 (multiplicity 8)  4 Sc 2.50, 4 Ag 2.50

[9]
DFT (PBE) results for crystalline ScAgC2 at its relaxed geometry.

Output
Mass density: 5.058 g/cm³
Relative energy among the computed polymorphs: 36 meV per atom

Cell lengths 4.2271, 4.2271, 12.9969 Å; angles 90.00, 90.00, 90.00 degrees
Closest atoms and distances in Å follow each position.
Space group I-42d (No. 122)
Asymmetric unit:
Sc 0.0000 0.0000 0.0000 (multiplicity 4)  4 C 2.30
Ag 0.0000 0.0000 0.5000 (multiplicity 4)  4 C 2.12
C 0.2050 0.2500 0.6250 (multiplicity 8)  2 Ag 2.12, 2 Sc 2.30

[10]
DFT (PBE) results for crystalline Sc3AgC at its relaxed geometry.

Output
Mass density: 2.936 g/cm³
Relative energy among the computed polymorphs: 676 meV per atom

Cell lengths 3.2378, 6.2791, 14.1716 Å; angles 90.00, 90.00, 90.00 degrees
Closest atoms and distances in Å follow each position.
Space group Amm2 (No. 38)
Asymmetric unit:
Sc 0.0000 0.0000 0.0000 (multiplicity 2)  1 C 2.16
Sc 0.5000 0.2364 0.8307 (multiplicity 4)  2 C 2.21
Ag 0.5000 0.0000 0.1672 (multiplicity 2)  4 Sc 2.85-2.87
C 0.0000 0.0000 0.8478 (multiplicity 2)  5 Sc 2.16-2.21

[11]
DFT (PBE) results for crystalline Sc3AgC at its relaxed geometry.

Output
Mass density: 3.915 g/cm³
Relative energy among the computed polymorphs: 350 meV per atom

Cell lengths 12.0021, 12.0021, 12.0021 Å; angles 90.00, 90.00, 90.00 degrees
Closest atoms and distances in Å follow each position.
Space group Fd-3m (No. 227, origin choice 2)
Asymmetric unit:
Sc 0.0680 0.3750 0.3750 (multiplicity 48)  2 C 2.27
Ag 0.0000 0.0000 0.5000 (multiplicity 16)  6 Sc 3.05
C 0.0000 0.0000 0.0000 (multiplicity 16)  6 Sc 2.27

[12]
DFT (PBE) results for crystalline Sc3AgC at its relaxed geometry.

Output
Mass density: 4.571 g/cm³
Relative energy among the computed polymorphs: 51 meV per atom

Cell lengths 10.6752, 4.7017, 7.8703 Å; angles 90.00, 110.44, 90.00 degrees
Closest atoms and distances in Å follow each position.
Space group C2/m (No. 12)
Asymmetric unit:
Sc 0.0946 0.0000 0.1978 (multiplicity 4)  2 C 2.25-2.29
Sc 0.1404 0.5000 0.9278 (multiplicity 4)  3 C 2.32-2.35
Sc 0.1540 0.0000 0.6586 (multiplicity 4)  1 C 2.22
Ag 0.1088 0.5000 0.4320 (multiplicity 4)  6 Sc 2.86-3.14, 1 Ag 2.88
C 0.1297 0.0000 0.9271 (multiplicity 4)  6 Sc 2.22-2.35

[13]
DFT (PBE) results for crystalline Sc3AgC at its relaxed geometry.

Output
Mass density: 4.511 g/cm³
Relative energy among the computed polymorphs: 84 meV per atom

Cell lengths 6.6108, 9.0027, 6.3042 Å; angles 90.00, 91.34, 90.00 degrees
Closest atoms and distances in Å follow each position.
Space group C2/m (No. 12)
Asymmetric unit:
Sc 0.0058 0.2336 0.2456 (multiplicity 8)  2 C 2.27
Sc 0.2376 0.5000 0.0003 (multiplicity 4)  2 C 2.25
Ag 0.2183 0.5000 0.4988 (multiplicity 4)  1 Ag 2.89, 6 Sc 3.15-3.19
C 0.2500 0.2500 0.0000 (multiplicity 4)  6 Sc 2.25-2.27

[14]
DFT (PBE) results for crystalline Sc3AgC at its relaxed geometry.

Output
Mass density: 4.247 g/cm³
Relative energy among the computed polymorphs: 230 meV per atom

Cell lengths 12.8602, 9.8570, 6.4556 Å; angles 90.00, 103.14, 90.00 degrees
Closest atoms and distances in Å follow each position.
Space group C2/c (No. 15)
Asymmetric unit:
Sc 0.1377 0.1823 0.0895 (multiplicity 8)  1 C 2.17
Sc 0.1458 0.5000 0.0712 (multiplicity 8)  2 C 2.27-2.28
Sc 0.1585 0.1745 0.5736 (multiplicity 8)  2 C 2.17-2.29
Ag 0.0000 0.0143 0.7500 (multiplicity 4)  8 Sc 2.97-3.17, 3 Ag 3.05-3.24
Ag 0.0000 0.3240 0.7500 (multiplicity 4)  8 Sc 2.85-3.01, 1 Ag 3.05
C 0.1687 0.3396 0.3305 (multiplicity 8)  5 Sc 2.17-2.29

[15]
DFT (PBE) results for crystalline Sc3AgC at its relaxed geometry.

Output
Mass density: 2.641 g/cm³
Relative energy among the computed polymorphs: 989 meV per atom

Cell lengths 7.5427, 7.5427, 9.7535 Å; angles 90.00, 90.00, 120.00 degrees
Closest atoms and distances in Å follow each position.
Space group R3m (No. 160, hexagonal axes)
Asymmetric unit:
Sc 0.0372 0.5186 0.0000 (multiplicity 9)  1 C 2.05
Ag 0.0000 0.0000 0.5374 (multiplicity 3)  1 C 2.68, 6 Sc 2.73-2.78
C 0.0000 0.0000 0.2631 (multiplicity 3)  3 Sc 2.05

[16]
DFT (PBE) results for crystalline Sc3AgC at its relaxed geometry.

Output
Mass density: 3.981 g/cm³
Relative energy among the computed polymorphs: 709 meV per atom

Cell lengths 5.3164, 5.3164, 15.0392 Å; angles 90.00, 90.00, 90.00 degrees
Closest atoms and distances in Å follow each position.
Space group I-4m2 (No. 119)
Asymmetric unit:
Sc 0.0000 0.0000 0.2239 (multiplicity 4)  2 C 2.69, 2 Ag 2.93, 2 Sc 2.94
Sc 0.0000 0.2562 0.6031 (multiplicity 8)  1 C 2.06
Ag 0.0000 0.5000 0.1426 (multiplicity 4)  6 Sc 2.93-3.05, 1 Ag 3.23
C 0.0000 0.0000 0.5000 (multiplicity 2)  4 Sc 2.06
C 0.0000 0.5000 0.7500 (multiplicity 2)  8 Sc 2.56-2.69

[17]
DFT (PBE) results for crystalline Sc3AgC at its relaxed geometry.

Output
Mass density: 3.256 g/cm³
Relative energy among the computed polymorphs: 1901 meV per atom

Cell lengths 5.0645, 5.0645, 5.0645 Å; angles 90.00, 90.00, 90.00 degrees
Closest atoms and distances in Å follow each position.
Space group Pm-3m (No. 221)
Asymmetric unit:
Sc 0.0000 0.0000 0.5000 (multiplicity 3)  2 Ag 2.53
Ag 0.0000 0.0000 0.0000 (multiplicity 1)  6 Sc 2.53
C 0.5000 0.5000 0.5000 (multiplicity 1)  12 Sc 3.58

[18]
DFT (PBE) results for crystalline Sc3AgC at its relaxed geometry.

Output
Mass density: 4.471 g/cm³
Relative energy among the computed polymorphs: 121 meV per atom

Cell lengths 4.6251, 11.6116, 7.0472 Å; angles 90.00, 90.00, 90.00 degrees
Closest atoms and distances in Å follow each position.
Space group Cmcm (No. 63)
Asymmetric unit:
Sc 0.0000 0.0418 0.2500 (multiplicity 4)  2 C 2.32
Sc 0.0000 0.3730 0.0269 (multiplicity 8)  2 C 2.30-2.33
Ag 0.0000 0.2029 0.7500 (multiplicity 4)  7 Sc 2.78-2.93
C 0.0000 0.4784 0.7500 (multiplicity 4)  6 Sc 2.30-2.33

[19]
DFT (PBE) results for crystalline Sc3AgC at its relaxed geometry.

Output
Mass density: 4.544 g/cm³
Relative energy among the computed polymorphs: 18 meV per atom

Cell lengths 4.5321, 4.5321, 4.5321 Å; angles 90.00, 90.00, 90.00 degrees
Closest atoms and distances in Å follow each position.
Space group Pm-3m (No. 221)
Asymmetric unit:
Sc 0.0000 0.0000 0.5000 (multiplicity 3)  2 C 2.27
Ag 0.5000 0.5000 0.5000 (multiplicity 1)  12 Sc 3.20
C 0.0000 0.0000 0.0000 (multiplicity 1)  6 Sc 2.27

[20]
DFT (PBE) results for crystalline Sc3AgC at its relaxed geometry.

Output
Mass density: 4.582 g/cm³
Relative energy among the computed polymorphs: 0 meV per atom

Cell lengths 6.3854, 6.3854, 15.6871 Å; angles 90.00, 90.00, 120.00 degrees
Closest atoms and distances in Å follow each position.
Space group R-3c (No. 167, hexagonal axes)
Asymmetric unit:
Sc 0.0000 0.4466 0.2500 (multiplicity 18)  2 C 2.29
Ag 0.0000 0.0000 0.2500 (multiplicity 6)  3 Sc 2.85
C 0.0000 0.0000 0.0000 (multiplicity 6)  6 Sc 2.29

Respective DOS(E_F) values: 1.233; 1.125; 1.014; 0.732; 0.668; 1.340; 0.688; 0.717; 0.000; 1.025; 0.973; 0.649; 0.935; 1.040; 0.502; 0.856; 1.671; 1.250; 1.267; 1.417 states/eV/atom.
Respective formation energy values: 0.74; -0.34; 1.05; -0.35; -0.11; -0.24; 0.36; 1.27; 1.31; 0.28; -0.05; -0.35; -0.31; -0.17; 0.59; 0.31; 1.50; -0.28; -0.38; -0.40 eV per atom.
Respective size of the total moment values: 0.0; 0.0; 0.0; 0.0; 0.0; 3.6; 0.2; 0.0; 0.0; 1.4; 0.0; 0.0; 2.1; 0.0; 0.0; 0.0; 0.0; 1.1; 1.5; 0.0 Bohr magnetons per cell.